[1]
DFT (PBEsol) results for a geometry-optimized CsBeSe2N structure.

Structure (CIF):
```
data_CsBeSe2N
_chemical_formula_sum 'Cs1 Be1 Se2 N1'
_cell_length_a 4.441
_cell_length_b 5.668
_cell_length_c 5.668
_cell_angle_alpha 90.00
_cell_angle_beta 90.00
_cell_angle_gamma 90.00
_space_group_name_H-M_alt 'P 1'
_space_group_IT_number 1
loop_
_space_group_symop_operation_xyz
'x,y,z'
loop_
_atom_site_label
_atom_site_type_symbol
_atom_site_fract_x
_atom_site_fract_y
_atom_site_fract_z
Be1 Be 0.500 0.500 0.500
Cs1 Cs 0.000 0.000 0.000
Se1 Se 0.000 0.500 0.000
Se2 Se 0.000 0.000 0.500
N1 N 0.500 0.000 0.000
```

Computed properties:
Its energy relative to the elements, uncorrected is 2.1465 eV per atom. The raw total energy is -2.09 eV/atom.


[2]
DFT (PBEsol) results for a geometry-optimized Ca2AgPt2 structure.

Structure (CIF):
```
data_Ca2AgPt2
_chemical_formula_sum 'Ca4 Ag2 Pt4'
_cell_length_a 4.066
_cell_length_b 7.167
_cell_length_c 7.167
_cell_angle_alpha 90.00
_cell_angle_beta 90.00
_cell_angle_gamma 90.00
_space_group_name_H-M_alt 'P 1'
_space_group_IT_number 1
loop_
_space_group_symop_operation_xyz
'x,y,z'
loop_
_atom_site_label
_atom_site_type_symbol
_atom_site_fract_x
_atom_site_fract_y
_atom_site_fract_z
Ag1 Ag 0.000 0.500 0.500
Ag2 Ag 0.000 0.000 0.000
Pt1 Pt 0.000 0.131 0.369
Pt2 Pt 0.000 0.631 0.131
Pt3 Pt 0.000 0.369 0.869
Pt4 Pt 0.000 0.869 0.631
Ca1 Ca 0.500 0.828 0.328
Ca2 Ca 0.500 0.328 0.172
Ca3 Ca 0.500 0.172 0.672
Ca4 Ca 0.500 0.672 0.828
```

Computed properties:
The value obtained for the formation energy from the elements is -609.3 meV per atom. The raw total energy is -4.91 eV/atom.


[3]
DFT (PBEsol) results for a geometry-optimized Ca2RhAu structure.

Structure (CIF):
```
data_Ca2RhAu
_chemical_formula_sum 'Ca2 Rh1 Au1'
_cell_length_a 3.355
_cell_length_b 4.427
_cell_length_c 5.869
_cell_angle_alpha 90.00
_cell_angle_beta 90.00
_cell_angle_gamma 90.00
_space_group_name_H-M_alt 'P 1'
_space_group_IT_number 1
loop_
_space_group_symop_operation_xyz
'x,y,z'
loop_
_atom_site_label
_atom_site_type_symbol
_atom_site_fract_x
_atom_site_fract_y
_atom_site_fract_z
Ca1 Ca 0.500 0.500 0.314
Ca2 Ca 0.000 0.000 0.939
Au1 Au 0.500 0.500 0.788
Rh1 Rh 0.000 0.000 0.459
```

Computed properties:
The value obtained for the formation energy from the elements is -245.5 meV per atom. The raw total energy is -4.33 eV/atom.